Material: Be2ReP
Method: DFT, PBE
State: relaxed

```
data_Be2ReP
_space_group_name_H-M_alt 'P m m m'
_space_group_IT_number 47
_space_group_name_Hall '-P 2 2'
_cell_length_a 2.974
_cell_length_b 3.422
_cell_length_c 4.405
_cell_angle_alpha 90.00
_cell_angle_beta 90.00
_cell_angle_gamma 90.00
loop_
_atom_site_label
_atom_site_fract_x
_atom_site_fract_y
_atom_site_fract_z
Be1 0.000 0.000 0.233
Re1 0.500 0.500 0.000
P1 0.000 0.500 0.500
```

Values from the calculation:
E_form, eV/atom: 0.02

=====

Material: U3Cd5S12
Method: DFT, PBE
State: relaxed

```
data_U3Cd5S12
_space_group_name_H-M_alt 'I a -3 d'
_space_group_IT_number 230
_space_group_name_Hall '-I 4bd 2c 3'
_cell_length_a 15.544
_cell_length_b 15.544
_cell_length_c 15.544
_cell_angle_alpha 90.00
_cell_angle_beta 90.00
_cell_angle_gamma 90.00
loop_
_atom_site_label
_atom_site_fract_x
_atom_site_fract_y
_atom_site_fract_z
U1 0.000 0.250 0.125
Cd1 0.000 0.000 0.000
Cd2 0.000 0.250 0.375
S1 0.018 0.072 0.654
```

Values from the calculation:
Uncorrected formation energy, eV per atom: -0.764

=====

Material: LaZnCo3
Method: DFT, PBE
State: relaxed

```
data_LaZnCo3
_space_group_name_H-M_alt 'P m -3 m'
_space_group_IT_number 221
_space_group_name_Hall '-P 4 2 3'
_cell_length_a 4.615
_cell_length_b 4.615
_cell_length_c 4.615
_cell_angle_alpha 90.00
_cell_angle_beta 90.00
_cell_angle_gamma 90.00
loop_
_atom_site_label
_atom_site_fract_x
_atom_site_fract_y
_atom_site_fract_z
La1 0.000 0.000 0.000
Zn1 0.500 0.500 0.500
Co1 0.000 0.000 0.500
```

Values from the calculation:
E_form, eV/atom: 1.52

=====

Material: NdHo12Sc6
Method: DFT, PBE
State: relaxed

```
data_NdHo12Sc6
_space_group_name_H-M_alt 'I m -3'
_space_group_IT_number 204
_space_group_name_Hall '-I 2 2 3'
_cell_length_a 10.412
_cell_length_b 10.412
_cell_length_c 10.412
_cell_angle_alpha 90.00
_cell_angle_beta 90.00
_cell_angle_gamma 90.00
loop_
_atom_site_label
_atom_site_fract_x
_atom_site_fract_y
_atom_site_fract_z
Nd1 0.000 0.000 0.000
Ho1 0.000 0.197 0.267
Sc1 0.000 0.363 0.500
```

Values from the calculation:
E_form, eV/atom: 0.25

=====

Material: Sr2Cu
Method: DFT, PBE
State: relaxed

```
data_Sr2Cu
_space_group_name_H-M_alt 'P a -3'
_space_group_IT_number 205
_space_group_name_Hall '-P 2ac 2ab 3'
_cell_length_a 7.705
_cell_length_b 7.705
_cell_length_c 7.705
_cell_angle_alpha 90.00
_cell_angle_beta 90.00
_cell_angle_gamma 90.00
loop_
_atom_site_label
_atom_site_fract_x
_atom_site_fract_y
_atom_site_fract_z
Sr1 0.160 0.160 0.160
Cu1 0.000 0.000 0.500
```

Values from the calculation:
E_form, eV/atom: 0.01

=====

Material: DyErZn
Method: DFT, PBE
State: relaxed

```
data_DyErZn
_space_group_name_H-M_alt 'I -4 m 2'
_space_group_IT_number 119
_space_group_name_Hall 'I -4 -2'
_cell_length_a 4.916
_cell_length_b 4.916
_cell_length_c 6.977
_cell_angle_alpha 90.00
_cell_angle_beta 90.00
_cell_angle_gamma 90.00
loop_
_atom_site_label
_atom_site_fract_x
_atom_site_fract_y
_atom_site_fract_z
Dy1 0.000 0.000 0.000
Er1 0.000 0.000 0.500
Zn1 0.000 0.500 0.250
```

Values from the calculation:
E_form, eV/atom: 0.02

=====

Material: Pm2DyTmSc4
Method: DFT, PBE
State: relaxed

```
data_Pm2DyTmSc4
_space_group_name_H-M_alt 'P 1 2/m 1'
_space_group_IT_number 10
_space_group_name_Hall '-P 2y'
_cell_length_a 5.951
_cell_length_b 3.437
_cell_length_c 11.181
_cell_angle_alpha 90.00
_cell_angle_beta 100.12
_cell_angle_gamma 90.00
loop_
_atom_site_label
_atom_site_fract_x
_atom_site_fract_y
_atom_site_fract_z
Pm1 0.000 0.000 0.000
Pm2 0.000 0.500 0.500
Dy1 0.500 0.000 0.500
Tm1 0.500 0.500 0.000
Sc1 0.251 0.500 0.250
Sc2 0.252 0.000 0.751
```

Values from the calculation:
E_form, eV/atom: 0.06

=====

Material: Cs2LiNpBr6
Method: DFT, PBE
State: relaxed

```
data_Cs2LiNpBr6
_space_group_name_H-M_alt 'P m m n'
_space_group_IT_number 59
_cell_length_a 8.045
_cell_length_b 11.332
_cell_length_c 7.991
_cell_angle_alpha 90.00
_cell_angle_beta 90.00
_cell_angle_gamma 90.00
loop_
_space_group_symop_operation_xyz
'x,y,z'
'-x,-y,-z'
'-x+1/2,-y+1/2,z'
'x+1/2,y+1/2,-z'
'x+1/2,-y,-z'
'-x+1/2,y,z'
'-x,y+1/2,-z'
'x,-y+1/2,z'
loop_
_atom_site_label
_atom_site_fract_x
_atom_site_fract_y
_atom_site_fract_z
Cs1 0.250 0.001 0.250
Li1 0.250 0.250 0.750
Np1 0.250 0.750 0.750
Br1 0.005 0.250 0.503
Br2 0.005 0.250 0.996
Br3 0.250 0.004 0.750
```

Values from the calculation:
Uncorrected formation energy, eV per atom: -1.587

=====

Material: Ba2LaBr
Method: DFT, PBE
State: relaxed

```
data_Ba2LaBr
_space_group_name_H-M_alt 'P 4/m m m'
_space_group_IT_number 123
_space_group_name_Hall '-P 4 2'
_cell_length_a 6.557
_cell_length_b 6.557
_cell_length_c 3.984
_cell_angle_alpha 90.00
_cell_angle_beta 90.00
_cell_angle_gamma 90.00
loop_
_atom_site_label
_atom_site_fract_x
_atom_site_fract_y
_atom_site_fract_z
Ba1 0.000 0.500 0.000
La1 0.000 0.000 0.500
Br1 0.500 0.500 0.500
```

Values from the calculation:
Uncorrected formation energy, eV per atom: -0.395

=====

Material: BePtW
Method: DFT, PBE
State: relaxed

```
data_BePtW
_space_group_name_H-M_alt 'C 1 m 1'
_space_group_IT_number 8
_space_group_name_Hall 'C -2y'
_cell_length_a 9.088
_cell_length_b 3.931
_cell_length_c 5.459
_cell_angle_alpha 90.00
_cell_angle_beta 124.47
_cell_angle_gamma 90.00
loop_
_atom_site_label
_atom_site_fract_x
_atom_site_fract_y
_atom_site_fract_z
Be1 0.000 0.000 0.000
Be2 0.200 0.500 0.770
Pt1 0.029 0.000 0.467
Pt2 0.306 0.000 0.071
W1 0.182 0.500 0.290
W2 0.377 0.000 0.640
```

Values from the calculation:
E_form, eV/atom: -0.15

=====

Material: LiPm2Ga3Au12
Method: DFT, PBE
State: relaxed

```
data_LiPm2Ga3Au12
_space_group_name_H-M_alt 'R -3 m'
_space_group_IT_number 166
_space_group_name_Hall '-R 3 2"'
_cell_length_a 8.5931
_cell_length_b 8.5931
_cell_length_c 19.4565
_cell_angle_alpha 90.00
_cell_angle_beta 90.00
_cell_angle_gamma 120.00
loop_
_atom_site_label
_atom_site_fract_x
_atom_site_fract_y
_atom_site_fract_z
Li1 0.0000 0.0000 0.0000
Pm1 0.0000 0.0000 0.3826
Ga1 0.0000 0.5000 0.5000
Au1 0.0003 0.5002 0.3680
Au2 0.0093 0.5047 0.8739
```

Values from the calculation:
E_form, eV/atom: -0.17

=====

Material: La3AlSb
Method: DFT, PBE
State: relaxed

```
data_La3AlSb
_space_group_name_H-M_alt 'P m -3 m'
_space_group_IT_number 221
_space_group_name_Hall '-P 4 2 3'
_cell_length_a 5.693
_cell_length_b 5.693
_cell_length_c 5.693
_cell_angle_alpha 90.00
_cell_angle_beta 90.00
_cell_angle_gamma 90.00
loop_
_atom_site_label
_atom_site_fract_x
_atom_site_fract_y
_atom_site_fract_z
La1 0.000 0.000 0.500
Al1 0.000 0.000 0.000
Sb1 0.500 0.500 0.500
```

Values from the calculation:
Uncorrected formation energy, eV per atom: -0.149

=====

| no. | volume (Å³ per cell) | total moment (μB per cell) |
| --- | --- | --- |
| 1 | 44.8 | 0.00 |
| 2 | 3755.5 | 31.64 |
| 3 | 98.3 | 2.10 |
| 4 | 1128.9 | 0.00 |
| 5 | 457.3 | 0.00 |
| 6 | 168.6 | 0.00 |
| 7 | 225.2 | 0.00 |
| 8 | 728.5 | 8.00 |
| 9 | 171.3 | 0.01 |
| 10 | 160.8 | 0.00 |
| 11 | 1244.2 | 0.00 |
| 12 | 184.5 | 0.00 |